*one*
An optimized crystal structure of Sb2PPbI. Source: Alexandria via LeMat-Bulk, functional PBE.

It has space group P4/mmm (No. 123), with a = 5.366 Å, b = 5.366 Å, c = 5.358 Å, α = 90.00°, β = 90.00° and γ = 90.00°. The distinct sites, in fractional coordinates, are Sb at (0.000, 0.500, 0.000), P at (0.000, 0.000, 0.000), Pb at (0.500, 0.500, 0.500) and I at (0.000, 0.000, 0.500).

The density is 6.55 Mg/m³.


*two*
An optimized crystal structure of Sb2PPbI. Source: Alexandria via LeMat-Bulk, functional PBE.

It has space group P4/mmm (No. 123), with a = 5.990 Å, b = 5.990 Å, c = 6.079 Å, α = 90.00°, β = 90.00° and γ = 90.00°. The distinct sites, in fractional coordinates, are Sb at (0.000, 0.500, 0.000), P at (0.000, 0.000, 0.500), Pb at (0.500, 0.500, 0.000) and I at (0.500, 0.500, 0.500).

The density is 4.63 Mg/m³.


The data favor *one*; the next most stable structure lies 722 meV per atom above it.


*one*
An optimized crystal structure of PPd3I. Source: Alexandria via LeMat-Bulk, functional PBE.

It has space group Pm-3m (No. 221), with a = 4.993 Å, b = 4.993 Å, c = 4.993 Å, α = 90.00°, β = 90.00° and γ = 90.00°. The distinct sites, in fractional coordinates, are P at (0.000, 0.000, 0.000), Pd at (0.000, 0.500, 0.500) and I at (0.500, 0.500, 0.500).

The density is 6.36 Mg/m³.


*two*
An optimized crystal structure of PPd3I. Source: Alexandria via LeMat-Bulk, functional PBE.

It has space group Pm-3m (No. 221), with a = 4.641 Å, b = 4.641 Å, c = 4.641 Å, α = 90.00°, β = 90.00° and γ = 90.00°. The distinct sites, in fractional coordinates, are P at (0.000, 0.000, 0.000), Pd at (0.000, 0.000, 0.500) and I at (0.500, 0.500, 0.500).

The density is 7.93 Mg/m³.


The data favor *two*; the next most stable structure lies 1001 meV per atom above it.